# LiLaCo

An optimized crystal structure of LiLaCo (PBE, Alexandria via LeMat-Bulk).

Results
- symmetry = No. 12

Lattice parameters (Å, degrees): 4.3676 4.6276 7.1142 105.83 107.88 90.00
With the nearest neighbours (Å) after each atom.
Fractional coordinates of all 6 atoms:
La (0.1410, 0.3666, 0.2819)  1 Co 2.35
Co (0.2228, 0.8876, 0.4455)  1 La 2.35, 2 Co 2.44, 1 Li 2.52
La (0.8590, 0.6334, 0.7181)  1 Co 2.35
Li (0.4113, 0.1756, 0.8225)  3 Co 2.52-2.80
Co (0.7772, 0.1124, 0.5545)  1 La 2.35, 2 Co 2.44, 1 Li 2.52
Li (0.5887, 0.8244, 0.1775)  3 Co 2.52-2.80

=====

# LiLaCo2

An optimized crystal structure of LiLaCo2 (PBE, Alexandria via LeMat-Bulk).

Results
- symmetry = No. 119

Lattice parameters (Å, degrees): 4.8381 4.8381 4.8381 129.68 129.68 73.91
With the nearest neighbours (Å) after each atom.
Fractional coordinates of all 4 atoms:
Co (0.2500, 0.7500, 0.5000)  4 La 2.82, 4 Co 2.82, 4 Li 2.91
Li (0.7500, 0.2500, 0.5000)  4 La 2.82, 8 Co 2.82-2.91
La (0.5000, 0.5000, 0.0000)  8 Co 2.82-2.91, 4 Li 2.82
Co (0.0000, 0.0000, 0.0000)  4 Co 2.82, 4 Li 2.82, 4 La 2.91

=====

E_form? In order: 7; 112 kJ/mol of formula units.